1.
Compound: Os2C
Source: Alexandria
Functional: PBE
Structure: relaxed

The value obtained for the density of states at the Fermi level is 0.9028 states/eV/atom. The calculation puts the formation energy at 0.73 eV/atom. Its energy relative to the lowest polymorph listed for this composition is 221 meV/atom.

The structure in CIF format:
```
data_Os2C
_chemical_formula_sum 'Os4 C2'
_cell_length_a 4.839
_cell_length_b 5.185
_cell_length_c 2.831
_cell_angle_alpha 90.00
_cell_angle_beta 90.00
_cell_angle_gamma 90.00
_space_group_name_H-M_alt 'P n n m'
_space_group_IT_number 58
loop_
_space_group_symop_operation_xyz
'x,y,z'
'-x,-y,-z'
'-x,-y,z'
'x,y,-z'
'x+1/2,-y+1/2,-z+1/2'
'-x+1/2,y+1/2,z+1/2'
'-x+1/2,y+1/2,-z+1/2'
'x+1/2,-y+1/2,z+1/2'
loop_
_atom_site_label
_atom_site_type_symbol
_atom_site_fract_x
_atom_site_fract_y
_atom_site_fract_z
Os1 Os 0.146 0.225 0.000
C1 C 0.000 0.500 0.500
```

---

2.
Compound: KPmPtAu
Source: Alexandria
Functional: PBE
Structure: relaxed

The value obtained for the density of states at the Fermi level is 0.4327 states/eV/atom. The calculation puts the formation energy at -0.43 eV/atom.

The structure in CIF format:
```
data_KPmPtAu
_chemical_formula_sum 'K4 Pm4 Pt4 Au4'
_cell_length_a 7.306
_cell_length_b 7.306
_cell_length_c 7.306
_cell_angle_alpha 90.00
_cell_angle_beta 90.00
_cell_angle_gamma 90.00
_space_group_name_H-M_alt 'F -4 3 m'
_space_group_IT_number 216
_space_group_name_Hall 'F -4 2 3'
loop_
_atom_site_label
_atom_site_type_symbol
_atom_site_fract_x
_atom_site_fract_y
_atom_site_fract_z
K1 K 0.000 0.000 0.000
Pm1 Pm 0.000 0.000 0.500
Pt1 Pt 0.250 0.250 0.750
Au1 Au 0.250 0.250 0.250
```

---

3.
Compound: IrPt2I
Source: Alexandria
Functional: PBE
Structure: relaxed

The value obtained for the raw formation energy is 0.63 eV per atom. The value obtained for the density of states at the Fermi level is 1.1979 states/eV/atom. Its energy relative to the lowest polymorph listed for this composition is 0 meV/atom.

The structure in CIF format:
```
data_IrPt2I
_chemical_formula_sum 'Ir4 Pt8 I4'
_cell_length_a 7.431
_cell_length_b 7.431
_cell_length_c 5.453
_cell_angle_alpha 90.00
_cell_angle_beta 90.00
_cell_angle_gamma 90.00
_space_group_name_H-M_alt 'I -4 2 d'
_space_group_IT_number 122
_space_group_name_Hall 'I -4 2bw'
loop_
_atom_site_label
_atom_site_type_symbol
_atom_site_fract_x
_atom_site_fract_y
_atom_site_fract_z
Ir1 Ir 0.000 0.000 0.000
Pt1 Pt 0.240 0.250 0.125
I1 I 0.000 0.000 0.500
```

---

4.
Compound: V2BrN
Source: Alexandria
Functional: PBE
Structure: relaxed

The value obtained for the raw formation energy is -0.22 eV per atom. The value obtained for the density of states at the Fermi level is 1.0184 states/eV/atom. Its energy relative to the lowest polymorph listed for this composition is 0 meV/atom.

The structure in CIF format:
```
data_V2BrN
_chemical_formula_sum 'V8 Br4 N4'
_cell_length_a 5.190
_cell_length_b 5.190
_cell_length_c 9.848
_cell_angle_alpha 90.00
_cell_angle_beta 90.00
_cell_angle_gamma 90.00
_space_group_name_H-M_alt 'I -4 2 d'
_space_group_IT_number 122
_space_group_name_Hall 'I -4 2bw'
loop_
_atom_site_label
_atom_site_type_symbol
_atom_site_fract_x
_atom_site_fract_y
_atom_site_fract_z
V1 V 0.147 0.250 0.125
Br1 Br 0.000 0.000 0.500
N1 N 0.000 0.000 0.000
```

---

5.
Compound: BiC2N
Source: Alexandria
Functional: PBE
Structure: relaxed

The value obtained for the raw formation energy is 3.28 eV per atom. The value obtained for the density of states at the Fermi level is 0.7969 states/eV/atom. Its energy relative to the lowest polymorph listed for this composition is 1162 meV/atom.

The structure in CIF format:
```
data_BiC2N
_chemical_formula_sum 'Bi4 C8 N4'
_cell_length_a 5.797
_cell_length_b 5.797
_cell_length_c 5.797
_cell_angle_alpha 90.00
_cell_angle_beta 90.00
_cell_angle_gamma 90.00
_space_group_name_H-M_alt 'F m -3 m'
_space_group_IT_number 225
_space_group_name_Hall '-F 4 2 3'
loop_
_atom_site_label
_atom_site_type_symbol
_atom_site_fract_x
_atom_site_fract_y
_atom_site_fract_z
Bi1 Bi 0.000 0.000 0.000
C1 C 0.250 0.250 0.250
N1 N 0.000 0.000 0.500
```

---

6.
Compound: SiSn4Te6
Source: Alexandria
Functional: PBE
Structure: relaxed

The value obtained for the raw formation energy is -0.14 eV per atom.

The structure in CIF format:
```
data_SiSn4Te6
_chemical_formula_sum 'Si4 Sn16 Te24'
_cell_length_a 17.617
_cell_length_b 7.811
_cell_length_c 14.555
_cell_angle_alpha 90.00
_cell_angle_beta 122.26
_cell_angle_gamma 90.00
_space_group_name_H-M_alt 'C 1 c 1'
_space_group_IT_number 9
loop_
_space_group_symop_operation_xyz
'x,y,z'
'x,-y,z+1/2'
'x+1/2,y+1/2,z'
'x+1/2,-y+1/2,z+1/2'
loop_
_atom_site_label
_atom_site_type_symbol
_atom_site_fract_x
_atom_site_fract_y
_atom_site_fract_z
Si1 Si 0.000 0.225 0.000
Sn1 Sn 0.077 0.142 0.786
Sn2 Sn 0.219 0.399 0.271
Sn3 Sn 0.268 0.066 0.589
Sn4 Sn 0.447 0.179 0.906
Te1 Te 0.117 0.205 0.383
Te2 Te 0.163 0.260 0.049
Te3 Te 0.239 0.212 0.759
Te4 Te 0.399 0.252 0.296
Te5 Te 0.446 0.463 0.051
Te6 Te 0.489 0.027 0.603
```

---

7.
Compound: MgRePbO6
Source: Alexandria
Functional: PBE
Structure: relaxed

The value obtained for the raw formation energy is -1.61 eV per atom. The value obtained for the density of states at the Fermi level is 0.2648 states/eV/atom.

The structure in CIF format:
```
data_MgRePbO6
_chemical_formula_sum 'Mg1 Re1 Pb1 O6'
_cell_length_a 5.2701
_cell_length_b 5.2701
_cell_length_c 4.8778
_cell_angle_alpha 90.00
_cell_angle_beta 90.00
_cell_angle_gamma 120.00
_space_group_name_H-M_alt 'P 3 1 2'
_space_group_IT_number 149
loop_
_space_group_symop_operation_xyz
'x,y,z'
'-y,x-y,z'
'-x+y,-x,z'
'-y,-x,-z'
'-x+y,y,-z'
'x,x-y,-z'
loop_
_atom_site_label
_atom_site_type_symbol
_atom_site_fract_x
_atom_site_fract_y
_atom_site_fract_z
Mg1 Mg 0.0000 0.0000 0.0000
Re1 Re 0.3333 0.6667 0.0000
Pb1 Pb 0.6667 0.3333 0.5000
O1 O 0.0466 0.3563 0.2186
```

---

8.
Compound: Ag2OsSe
Source: Alexandria
Functional: PBE
Structure: relaxed

The value obtained for the raw formation energy is 0.72 eV per atom. The value obtained for the density of states at the Fermi level is 0.9444 states/eV/atom.

The structure in CIF format:
```
data_Ag2OsSe
_chemical_formula_sum 'Ag2 Os1 Se1'
_cell_length_a 3.021
_cell_length_b 4.566
_cell_length_c 4.973
_cell_angle_alpha 90.00
_cell_angle_beta 90.00
_cell_angle_gamma 90.00
_space_group_name_H-M_alt 'P m m m'
_space_group_IT_number 47
loop_
_space_group_symop_operation_xyz
'x,y,z'
'-x,-y,-z'
'-x,-y,z'
'x,y,-z'
'x,-y,-z'
'-x,y,z'
'-x,y,-z'
'x,-y,z'
loop_
_atom_site_label
_atom_site_type_symbol
_atom_site_fract_x
_atom_site_fract_y
_atom_site_fract_z
Ag1 Ag 0.000 0.000 0.000
Ag2 Ag 0.500 0.500 0.000
Os1 Os 0.000 0.500 0.500
Se1 Se 0.500 0.000 0.500
```

---

9.
Compound: CsLaIr2Os
Source: Alexandria
Functional: PBE
Structure: relaxed

The value obtained for the density of states at the Fermi level is 0.7177 states/eV/atom. The calculation puts the formation energy at 1.95 eV/atom.

The structure in CIF format:
```
data_CsLaIr2Os
_chemical_formula_sum 'Cs1 La1 Ir2 Os1'
_cell_length_a 5.221
_cell_length_b 5.221
_cell_length_c 5.236
_cell_angle_alpha 90.00
_cell_angle_beta 90.00
_cell_angle_gamma 90.00
_space_group_name_H-M_alt 'P 4/m m m'
_space_group_IT_number 123
_space_group_name_Hall '-P 4 2'
loop_
_atom_site_label
_atom_site_type_symbol
_atom_site_fract_x
_atom_site_fract_y
_atom_site_fract_z
Cs1 Cs 0.000 0.000 0.000
La1 La 0.500 0.500 0.500
Ir1 Ir 0.000 0.500 0.500
Os1 Os 0.500 0.500 0.000
```

---

10.
Compound: InPtCl2
Source: Alexandria
Functional: PBE
Structure: relaxed

The value obtained for the raw formation energy is -0.21 eV per atom. The value obtained for the density of states at the Fermi level is 0.2535 states/eV/atom. Its energy relative to the lowest polymorph listed for this composition is 228 meV/atom.

The structure in CIF format:
```
data_InPtCl2
_chemical_formula_sum 'In1 Pt1 Cl2'
_cell_length_a 3.325
_cell_length_b 3.325
_cell_length_c 8.249
_cell_angle_alpha 90.00
_cell_angle_beta 90.00
_cell_angle_gamma 90.00
_space_group_name_H-M_alt 'P 4 m m'
_space_group_IT_number 99
loop_
_space_group_symop_operation_xyz
'x,y,z'
'-y,x,z'
'-x,-y,z'
'y,-x,z'
'-x,y,z'
'y,x,z'
'x,-y,z'
'-y,-x,z'
loop_
_atom_site_label
_atom_site_type_symbol
_atom_site_fract_x
_atom_site_fract_y
_atom_site_fract_z
In1 In 0.000 0.000 0.000
Pt1 Pt 0.500 0.500 0.181
Cl1 Cl 0.000 0.000 0.374
Cl2 Cl 0.500 0.500 0.784
```

---

11.
Compound: Ta2AgRu
Source: Alexandria
Functional: PBE
Structure: relaxed

The value obtained for the density of states at the Fermi level is 0.6909 states/eV/atom. The calculation puts the formation energy at 0.13 eV/atom. Its energy relative to the lowest polymorph listed for this composition is 80 meV/atom.

The structure in CIF format:
```
data_Ta2AgRu
_chemical_formula_sum 'Ta2 Ag1 Ru1'
_cell_length_a 2.901
_cell_length_b 4.629
_cell_length_c 5.050
_cell_angle_alpha 90.00
_cell_angle_beta 95.42
_cell_angle_gamma 90.00
_space_group_name_H-M_alt 'P 1 m 1'
_space_group_IT_number 6
loop_
_space_group_symop_operation_xyz
'x,y,z'
'x,-y,z'
loop_
_atom_site_label
_atom_site_type_symbol
_atom_site_fract_x
_atom_site_fract_y
_atom_site_fract_z
Ta1 Ta 0.000 0.000 0.000
Ta2 Ta 0.173 0.500 0.652
Ag1 Ag 0.582 0.500 0.170
Ru1 Ru 0.588 0.000 0.516
```

---

12.
Compound: Er3Mg7Sc
Source: Alexandria
Functional: PBE
Structure: relaxed

The value obtained for the density of states at the Fermi level is 0.9708 states/eV/atom. The calculation puts the formation energy at 0.10 eV/atom. Its energy relative to the lowest polymorph listed for this composition is 0 meV/atom.

The structure in CIF format:
```
data_Er3Mg7Sc
_chemical_formula_sum 'Er12 Mg28 Sc4'
_cell_length_a 3.259
_cell_length_b 22.218
_cell_length_c 16.052
_cell_angle_alpha 90.00
_cell_angle_beta 90.00
_cell_angle_gamma 90.00
_space_group_name_H-M_alt 'C m c m'
_space_group_IT_number 63
_space_group_name_Hall '-C 2c 2'
loop_
_atom_site_label
_atom_site_type_symbol
_atom_site_fract_x
_atom_site_fract_y
_atom_site_fract_z
Er1 Er 0.000 0.119 0.035
Er2 Er 0.000 0.244 0.750
Mg1 Mg 0.000 0.263 0.075
Mg2 Mg 0.000 0.375 0.159
Mg3 Mg 0.000 0.393 0.750
Mg4 Mg 0.000 0.495 0.088
Sc1 Sc 0.000 0.019 0.750
```

---

no.,final energy (eV/f.u.)
1,-29.5
2,-16.9
3,-20.0
4,-29.1
5,-17.5
6,-41.8
7,-62.0
8,-17.6
9,-25.0
10,-13.3
11,-35.3
12,-30.1